--- A ---
A plane-wave DFT calculation with PBE was carried out for Nd3Sm4Tm after structural relaxation.

Lattice parameters (Å, degrees): 6.3612 7.3628 11.6875 90.00 90.00 90.00
Closest atoms and distances in Å follow each position.
Fractional positions:
Nd (0.6478, 0.6259, 0.0000)  4 Nd 3.60-3.62, 6 Sm 3.63-3.69, 2 Tm 3.68-3.69
Nd (0.9802, 0.6243, 0.2497)  4 Nd 3.60-3.67, 2 Tm 3.61, 6 Sm 3.62-3.69
Nd (0.4802, 0.3757, 0.2503)  4 Nd 3.60-3.67, 2 Tm 3.61, 6 Sm 3.62-3.69
Nd (0.1478, 0.3741, 0.5000)  4 Nd 3.60-3.62, 6 Sm 3.63-3.69, 2 Tm 3.68-3.69
Nd (0.4802, 0.3757, 0.7497)  4 Nd 3.60-3.67, 2 Tm 3.61, 6 Sm 3.62-3.69
Nd (0.9802, 0.6243, 0.7503)  4 Nd 3.60-3.67, 2 Tm 3.61, 6 Sm 3.62-3.69
Sm (0.1502, 0.8754, 0.0000)  6 Sm 3.59-3.69, 4 Nd 3.62-3.69, 2 Tm 3.67-3.69
Sm (0.6468, 0.1244, 0.0000)  6 Sm 3.59-3.69, 4 Nd 3.62-3.69, 2 Tm 3.67
Sm (0.9817, 0.1254, 0.2471)  1 Tm 3.58, 6 Sm 3.59-3.68, 5 Nd 3.63-3.69
Sm (0.4817, 0.8746, 0.2529)  1 Tm 3.58, 6 Sm 3.59-3.68, 5 Nd 3.63-3.69
Sm (0.1468, 0.8756, 0.5000)  6 Sm 3.59-3.69, 4 Nd 3.62-3.69, 2 Tm 3.67
Sm (0.6502, 0.1246, 0.5000)  6 Sm 3.59-3.69, 4 Nd 3.62-3.69, 2 Tm 3.67-3.69
Sm (0.4817, 0.8746, 0.7471)  1 Tm 3.58, 6 Sm 3.59-3.68, 5 Nd 3.63-3.69
Sm (0.9817, 0.1254, 0.7529)  1 Tm 3.58, 6 Sm 3.59-3.68, 5 Nd 3.63-3.69
Tm (0.1467, 0.3742, 0.0000)  6 Sm 3.58-3.69, 6 Nd 3.61-3.69
Tm (0.6467, 0.6258, 0.5000)  6 Sm 3.58-3.69, 6 Nd 3.61-3.69

## Properties
Calculated volume = 547.4 Å³ per cell
Total magnetization = 0.00 μB per atom
Theoretical density = 7.30 g cm⁻³

=====

--- B ---
A plane-wave DFT calculation with PBE was carried out for Nd3Sm4Tm after structural relaxation.

Lattice parameters (Å, degrees): 3.5092 6.8910 11.9766 106.70 98.42 90.00
Closest atoms and distances in Å follow each position.
Fractional positions:
Tm (0.5000, 0.0000, 0.0000)  2 Tm 3.51, 4 Sm 3.70, 8 Nd 3.71-3.87
Nd (0.0000, 0.5000, 0.0000)  2 Sm 3.33, 4 Nd 3.35-3.51
Nd (0.1245, 0.8848, 0.2490)  5 Sm 3.30-3.59, 3 Nd 3.35-3.51
Nd (0.8755, 0.1152, 0.7510)  5 Sm 3.30-3.59, 3 Nd 3.35-3.51
Sm (0.7415, 0.2451, 0.4829)  9 Sm 3.51-3.93, 3 Nd 3.54-3.59
Sm (0.2585, 0.7549, 0.5171)  9 Sm 3.51-3.93, 3 Nd 3.54-3.59
Sm (0.1237, 0.3635, 0.2475)  3 Nd 3.30-3.59, 5 Sm 3.51-3.58, 2 Tm 3.70
Sm (0.8763, 0.6365, 0.7525)  3 Nd 3.30-3.59, 5 Sm 3.51-3.58, 2 Tm 3.70

## Properties
Calculated volume = 274.1 Å³ per cell
Total magnetization = 0.00 μB per atom
Theoretical density = 7.29 g cm⁻³

=====

Last place for stability: B